First-principles (GGA-PBE) data for a relaxed structure of LaTb2CeN4, as listed in the Alexandria database.

Summary:
- M_tot: 0.25 μB/cell
- Uncorrected formation energy: -1.52 eV per atom

Cell lengths 6.189, 3.575, 6.194 Å; angles 90.00, 109.28, 90.00 degrees
Atoms (fractional coordinates):
La: 0.000 0.000 0.000
Tb: 0.500 0.000 0.500
Tb: 0.500 0.500 0.000
Ce: 0.000 0.500 0.500
N: 0.254 0.000 0.743
N: 0.257 0.500 0.264
N: 0.743 0.500 0.736
N: 0.746 0.000 0.257

First-principles (GGA-PBE) data for a relaxed structure of Tl2OsBr, as listed in the Alexandria database.

Summary:
- M_tot: 1.57 μB/cell
- Uncorrected formation energy: 0.75 eV per atom

Cell lengths 5.417, 5.417, 3.153 Å; angles 90.43, 90.43, 89.88 degrees
Atoms (fractional coordinates):
Tl: 0.000 0.500 0.000
Tl: 0.500 0.000 0.000
Os: 0.000 0.000 0.500
Br: 0.500 0.500 0.500

First-principles (GGA-PBE) data for a relaxed structure of HoMg3Pb6, as listed in the Alexandria database.

Summary:
- Energy of formation: -100 meV/atom
- M_tot: 0.00 μB/cell

Cell lengths 10.220, 4.834, 11.241 Å; angles 90.00, 95.53, 90.00 degrees
Atoms (fractional coordinates):
Ho: 0.060 0.250 0.389
Ho: 0.940 0.750 0.611
Mg: 0.249 0.250 0.004
Mg: 0.345 0.750 0.803
Mg: 0.444 0.250 0.600
Mg: 0.556 0.750 0.400
Mg: 0.655 0.250 0.197
Mg: 0.751 0.750 0.996
Pb: 0.062 0.750 0.904
Pb: 0.158 0.750 0.199
Pb: 0.160 0.250 0.698
Pb: 0.260 0.750 0.506
Pb: 0.374 0.250 0.304
Pb: 0.456 0.750 0.096
Pb: 0.544 0.250 0.904
Pb: 0.626 0.750 0.696
Pb: 0.740 0.250 0.494
Pb: 0.840 0.750 0.302
Pb: 0.842 0.250 0.801
Pb: 0.938 0.250 0.096

First-principles (GGA-PBE) data for a relaxed structure of La3Sm2PaN6, as listed in the Alexandria database.

Summary:
- M_tot: 0.00 μB/cell
- Uncorrected formation energy: -1.50 eV per atom

Cell lengths 6.282, 6.282, 6.355 Å; angles 99.48, 99.48, 119.94 degrees
Atoms (fractional coordinates):
La: 0.000 0.000 0.000
La: 0.332 0.668 0.000
La: 0.668 0.332 0.000
Sm: 0.166 0.834 0.500
Sm: 0.834 0.166 0.500
Pa: 0.500 0.500 0.500
N: 0.115 0.425 0.274
N: 0.265 0.265 0.729
N: 0.425 0.115 0.274
N: 0.575 0.885 0.726
N: 0.735 0.735 0.271
N: 0.885 0.575 0.726